[1]
Entry from Alexandria: crystalline Mg5Cd2IrRh2 at its relaxed geometry (GGA-PBE).

a b c (Å): 3.143 10.897 10.897
angles (deg): 90.00 90.00 90.00
Positions (direct):
Mg: 0.500 0.057 0.809
Mg: 0.500 0.309 0.557
Mg: 0.500 0.943 0.191
Mg: 0.500 0.191 0.057
Mg: 0.500 0.557 0.691
Mg: 0.500 0.691 0.443
Mg: 0.500 0.443 0.309
Mg: 0.500 0.000 0.500
Mg: 0.500 0.809 0.943
Mg: 0.500 0.500 0.000
Ir: 0.000 0.000 0.000
Ir: 0.000 0.500 0.500
Cd: 0.000 0.322 0.822
Cd: 0.000 0.822 0.678
Cd: 0.000 0.678 0.178
Cd: 0.000 0.178 0.322
Rh: 0.000 0.364 0.136
Rh: 0.000 0.636 0.864
Rh: 0.000 0.864 0.364
Rh: 0.000 0.136 0.636

Output
E_tot ... -3.611 eV per atom
Energy of formation from the pure elements ... -0.2746 eV/atom
Symmetry ... P4/mbm

[2]
Entry from Alexandria: crystalline ThTi4Si4 at its relaxed geometry (GGA-PBE).

a b c (Å): 4.944 8.382 8.382
angles (deg): 90.00 90.00 90.00
Positions (direct):
Ti: 0.390 0.627 0.121
Ti: 0.890 0.621 0.873
Ti: 0.110 0.127 0.621
Ti: 0.890 0.379 0.127
Ti: 0.610 0.879 0.627
Ti: 0.390 0.373 0.879
Ti: 0.610 0.121 0.373
Ti: 0.110 0.873 0.379
Si: 0.401 0.674 0.824
Si: 0.599 0.824 0.326
Si: 0.099 0.174 0.324
Si: 0.401 0.326 0.176
Si: 0.099 0.826 0.676
Si: 0.599 0.176 0.674
Si: 0.901 0.676 0.174
Si: 0.901 0.324 0.826
Th: 0.000 0.000 0.000
Th: 0.500 0.500 0.500

Output
E_tot ... -7.224 eV per atom
Formation energy from raw total energies ... -481 meV per atom
Symmetry ... P4_2/n

[3]
Entry from Alexandria: crystalline Na2ZrMnSe4 at its relaxed geometry (GGA-PBE).

a b c (Å): 3.901 6.874 7.327
angles (deg): 108.49 90.00 90.00
Positions (direct):
Na: 0.000 0.500 0.500
Na: 0.500 0.000 0.500
Zr: 0.500 0.500 0.000
Se: 0.000 0.736 0.224
Se: 0.500 0.235 0.209
Se: 0.000 0.264 0.776
Se: 0.500 0.765 0.791
Mn: 0.000 0.000 0.000

Output
E_tot ... -5.350 eV per atom
Formation energy from raw total energies ... -1063 meV per atom
Symmetry ... P2/m

[4]
Entry from Alexandria: crystalline CsBaP at its relaxed geometry (GGA-PBE).

a b c (Å): 5.540 5.539 10.520
angles (deg): 89.94 105.32 120.00
Positions (direct):
Cs: 0.786 0.885 0.085
Cs: 0.290 0.137 0.840
Ba: 0.290 0.637 0.341
Ba: 0.786 0.385 0.585
P: 0.506 0.745 0.665
P: 0.569 0.277 0.260

Output
E_tot ... -3.358 eV per atom
Energy of formation from the pure elements ... -0.6294 eV/atom
Symmetry ... C2/m

[5]
Entry from Alexandria: crystalline Rb2PbCl4 at its relaxed geometry (GGA-PBE).

a b c (Å): 4.344 8.970 8.604
angles (deg): 129.35 104.62 90.00
Positions (direct):
Rb: 0.648 0.613 0.296
Rb: 0.352 0.387 0.704
Pb: 0.000 0.000 0.000
Cl: 0.049 0.748 0.099
Cl: 0.343 0.759 0.687
Cl: 0.657 0.241 0.313
Cl: 0.951 0.252 0.901

Output
E_tot ... -3.475 eV per atom
Formation energy from raw total energies ... -1614 meV per atom
Symmetry ... C2/m
Distance to the lowest polymorph of the same formula ... 25 meV/atom

[6]
Entry from Alexandria: crystalline V5Ge2Rh12 at its relaxed geometry (GGA-PBE).

a b c (Å): 5.586 7.713 7.640
angles (deg): 103.61 90.00 111.23
Positions (direct):
Rh: 0.925 0.850 0.734
Rh: 0.075 0.150 0.266
Rh: 0.124 0.723 0.398
Rh: 0.876 0.277 0.602
Rh: 0.558 0.605 0.863
Rh: 0.522 0.044 0.298
Rh: 0.600 0.723 0.398
Rh: 0.442 0.395 0.137
Rh: 0.400 0.277 0.602
Rh: 0.953 0.395 0.137
Rh: 0.478 0.956 0.702
Rh: 0.047 0.605 0.863
V: 0.650 0.300 0.888
V: 0.000 0.000 0.500
V: 0.274 0.549 0.583
V: 0.726 0.451 0.417
V: 0.350 0.700 0.112
Ge: 0.255 0.000 0.000
Ge: 0.745 0.000 0.000

Output
E_tot ... -7.613 eV per atom
Energy of formation from the pure elements ... -0.0844 eV/atom
Symmetry ... C2/m

[7]
Entry from Alexandria: crystalline BeSiAu at its relaxed geometry (GGA-PBE).

a b c (Å): 4.128 4.877 9.120
angles (deg): 90.00 93.63 90.00
Positions (direct):
Be: 0.904 0.727 0.461
Be: 0.904 0.773 0.961
Be: 0.904 0.227 0.961
Be: 0.904 0.273 0.461
Si: 0.784 0.000 0.248
Si: 0.416 0.500 0.541
Si: 0.416 0.000 0.041
Si: 0.784 0.500 0.748
Au: 0.948 0.000 0.720
Au: 0.402 0.500 0.977
Au: 0.402 0.000 0.477
Au: 0.948 0.500 0.220

Output
E_tot ... -4.078 eV per atom
Formation energy from raw total energies ... 64 meV per atom
Symmetry ... Cm
Distance to the lowest polymorph of the same formula ... 80 meV/atom

[8]
Entry from Alexandria: crystalline Nd2BeSi4Pt3 at its relaxed geometry (GGA-PBE).

a b c (Å): 4.203 4.203 9.956
angles (deg): 90.00 90.00 90.00
Positions (direct):
Pt: 0.000 0.500 0.123
Pt: 0.500 0.000 0.877
Pt: 0.000 0.000 0.500
Nd: 0.000 0.500 0.747
Nd: 0.500 0.000 0.253
Si: 0.000 0.000 0.000
Si: 0.500 0.000 0.630
Si: 0.500 0.500 0.000
Si: 0.000 0.500 0.370
Be: 0.500 0.500 0.500

Output
E_tot ... -6.266 eV per atom
Formation energy from raw total energies ... -959 meV per atom
Symmetry ... P-4m2

- The highest E_tot belongs to which entry?
  CsBaP